Crystalline Er2AlCrO6 at its relaxed geometry, computed with GGA+U.

a b c (Å): 5.279 5.279 4.086
angles (deg): 90.00 90.00 90.00
Space group P4mm (No. 99)
Inequivalent atoms, fractional coordinates:
Er: 0.000 0.500 0.000 [2 per cell]
Al: 0.000 0.000 0.584 [1 per cell]
Cr: 0.500 0.500 0.608 [1 per cell]
O: 0.000 0.000 0.142 [1 per cell]
O: 0.243 0.243 0.668 [4 per cell]
O: 0.500 0.500 0.124 [1 per cell]

Crystalline ErAlCr2O6 at its relaxed geometry, computed with GGA+U.

a b c (Å): 5.1863 5.1863 13.8714
angles (deg): 90.00 90.00 120.00
Space group R3 (No. 146, hexagonal axes)
Inequivalent atoms, fractional coordinates:
Er: 0.0000 0.0000 0.0000 [3 per cell]
Al: 0.0000 0.0000 0.4825 [3 per cell]
Cr: 0.0000 0.0000 0.2811 [3 per cell]
Cr: 0.0000 0.0000 0.7879 [3 per cell]
O: 0.0171 0.3445 0.5440 [9 per cell]
O: 0.0342 0.6286 0.0528 [9 per cell]

Uncorrected energy (computed, eV/atom): -7.882; -7.886
Spin magnetization (computed, μB/cell): 3.0; 18.0